Entry from Alexandria via LeMat-Bulk: a crystal of LiScTc2Cl relaxed with PBEsol (meta-GGA SCAN).

Properties
* uncorrected energy: -17.53 eV/atom

Cell lengths 4.593, 4.593, 5.825 Å; angles 90.00, 90.00, 90.00 degrees
Last column: magnetic moment on the atom in μB.
Atoms (fractional coordinates):
Sc1 0.000 0.000 0.000  -0.19
Tc1 0.500 0.000 0.000  2.23
Tc2 0.000 0.500 0.000  2.23
Cl1 0.500 0.500 0.500  0.11
Li1 0.000 0.000 0.500  -0.01


Entry from Alexandria via LeMat-Bulk: a crystal of LiScTl2Cl6 relaxed with PBEsol (meta-GGA SCAN).

Properties
* uncorrected energy: -22.74 eV/atom

Cell lengths 6.995, 6.995, 6.995 Å; angles 60.00, 60.00, 60.00 degrees
Atoms (fractional coordinates):
Li1 0.500 0.500 0.500
Cl1 0.248 0.752 0.248
Tl1 0.750 0.750 0.750
Cl2 0.248 0.248 0.752
Sc1 0.000 0.000 0.000
Cl3 0.752 0.248 0.752
Cl4 0.752 0.752 0.248
Cl5 0.248 0.752 0.752
Tl2 0.250 0.250 0.250
Cl6 0.752 0.248 0.248


Entry from Alexandria via LeMat-Bulk: a crystal of Li2SeCl relaxed with PBEsol (meta-GGA SCAN).

Properties
* uncorrected energy: -9.56 eV/atom

Cell lengths 3.149, 3.317, 7.123 Å; angles 90.06, 102.77, 90.00 degrees
Atoms (fractional coordinates):
Li1 0.949 0.124 0.898
Se1 0.547 0.625 0.094
Li2 0.220 0.625 0.440
Cl1 0.784 0.125 0.568


Entry from Alexandria via LeMat-Bulk: a crystal of LiSeCl relaxed with PBEsol (meta-GGA SCAN).

Properties
* uncorrected energy: -10.51 eV/atom

Cell lengths 4.367, 4.367, 4.367 Å; angles 60.00, 60.00, 60.00 degrees
Last column: magnetic moment on the atom in μB.
Atoms (fractional coordinates):
Se1 0.000 0.000 0.000  -0.51
Li1 0.250 0.250 0.250  0.00
Cl1 0.500 0.500 0.500  -0.24


Entry from Alexandria via LeMat-Bulk: a crystal of LiYSeCl2 relaxed with PBEsol (meta-GGA SCAN).

Properties
* uncorrected energy: -13.78 eV/atom

Cell lengths 4.969, 6.505, 6.505 Å; angles 90.00, 90.00, 90.00 degrees
Atoms (fractional coordinates):
Cl1 0.000 0.000 0.500
Se1 0.000 0.000 0.000
Y1 0.500 0.000 0.000
Cl2 0.000 0.500 0.000
Li1 0.500 0.500 0.500


Entry from Alexandria via LeMat-Bulk: a crystal of Li3SnCl relaxed with PBEsol (meta-GGA SCAN).

Properties
* offset from the most stable computed form: 0.000 eV per atom
* uncorrected energy: -10.99 eV/atom

Cell lengths 4.596, 4.596, 4.596 Å; angles 90.00, 90.00, 90.00 degrees
Atoms (fractional coordinates):
Sn1 0.500 0.500 0.500
Li1 0.500 0.000 0.000
Li2 0.000 0.000 0.500
Cl1 0.000 0.000 0.000
Li3 0.000 0.500 0.000


Entry from Alexandria via LeMat-Bulk: a crystal of LiSn3Cl relaxed with PBEsol (meta-GGA SCAN).

Properties
* offset from the most stable computed form: 0.247 eV per atom
* uncorrected energy: -23.26 eV/atom

Cell lengths 5.349, 5.349, 5.349 Å; angles 90.00, 90.00, 90.00 degrees
Atoms (fractional coordinates):
Sn1 0.500 0.000 0.000
Sn2 0.000 0.000 0.500
Li1 0.500 0.500 0.500
Cl1 0.000 0.000 0.000
Sn3 0.000 0.500 0.000


Entry from Alexandria via LeMat-Bulk: a crystal of Li3SnCl relaxed with PBEsol (meta-GGA SCAN).

Properties
* offset from the most stable computed form: 0.555 eV per atom
* uncorrected energy: -10.43 eV/atom

Cell lengths 5.281, 5.281, 5.281 Å; angles 90.00, 90.00, 90.00 degrees
Last column: magnetic moment on the atom in μB.
Atoms (fractional coordinates):
Cl1 0.500 0.500 0.500  0.12
Li1 0.000 0.500 0.000  0.04
Li2 0.000 0.000 0.500  0.04
Li3 0.500 0.000 0.000  0.04
Sn1 0.000 0.000 0.000  0.68


Entry from Alexandria via LeMat-Bulk: a crystal of LiSn3Cl relaxed with PBEsol (meta-GGA SCAN).

Properties
* offset from the most stable computed form: 0.000 eV per atom
* uncorrected energy: -23.50 eV/atom

Cell lengths 5.013, 5.013, 5.013 Å; angles 90.00, 90.00, 90.00 degrees
Atoms (fractional coordinates):
Sn1 0.500 0.000 0.000
Li1 0.000 0.000 0.000
Sn2 0.000 0.500 0.000
Cl1 0.500 0.500 0.500
Sn3 0.000 0.000 0.500


Entry from Alexandria via LeMat-Bulk: a crystal of SrLiCl relaxed with PBEsol (meta-GGA SCAN).

Properties
* uncorrected energy: -11.98 eV/atom

Cell lengths 3.721, 3.721, 7.661 Å; angles 104.06, 104.06, 90.00 degrees
Atoms (fractional coordinates):
Sr1 0.640 0.640 0.280
Li1 0.321 0.321 0.641
Cl1 0.040 0.040 0.079


Entry from Alexandria via LeMat-Bulk: a crystal of LiTaCl2 relaxed with PBEsol (meta-GGA SCAN).

Properties
* offset from the most stable computed form: 0.192 eV per atom
* uncorrected energy: -21.72 eV/atom

Cell lengths 3.037, 4.209, 5.534 Å; angles 94.91, 90.00, 111.14 degrees
Atoms (fractional coordinates):
Cl1 0.723 0.446 0.721
Cl2 0.277 0.554 0.279
Li1 0.500 0.000 0.000
Ta1 0.000 0.000 0.500


Entry from Alexandria via LeMat-Bulk: a crystal of LiTaCl2 relaxed with PBEsol (meta-GGA SCAN).

Properties
* offset from the most stable computed form: 0.000 eV per atom
* uncorrected energy: -21.91 eV/atom

Cell lengths 3.083, 3.083, 7.158 Å; angles 90.00, 90.00, 90.10 degrees
Atoms (fractional coordinates):
Cl1 0.000 0.000 0.053
Ta1 0.500 0.500 0.272
Li1 0.000 0.000 0.550
Cl2 0.500 0.500 0.624


Q: Look up the uncorrected energy of the eighth one.
A: -10.43 eV/atom


Q: Among the records above, which one has the lowest uncorrected energy?
A: number 9


Repeat the fourth record exactly.
Entry from Alexandria via LeMat-Bulk: a crystal of LiSeCl relaxed with PBEsol (meta-GGA SCAN).

Properties
* uncorrected energy: -10.51 eV/atom

Cell lengths 4.367, 4.367, 4.367 Å; angles 60.00, 60.00, 60.00 degrees
Last column: magnetic moment on the atom in μB.
Atoms (fractional coordinates):
Se1 0.000 0.000 0.000  -0.51
Li1 0.250 0.250 0.250  0.00
Cl1 0.500 0.500 0.500  -0.24